Record 1
Computed, not measured: an optimized crystal structure of ZrTeO4F at the PBE-GGA level of DFT.

* symmetry: No. 12
* energy relative to the elements, uncorrected: -2.0071 eV/atom

Cell lengths 5.764, 5.764, 6.355 Å; angles 97.67, 97.67, 72.98 degrees
Fractional coordinates of all 14 atoms:
Zr 0.199 0.199 0.113
Zr 0.801 0.801 0.887
Te 0.362 0.362 0.658
Te 0.638 0.638 0.342
O 0.127 0.499 0.862
O 0.184 0.184 0.441
O 0.422 0.422 0.273
O 0.499 0.127 0.862
O 0.501 0.873 0.138
O 0.578 0.578 0.727
O 0.816 0.816 0.559
O 0.873 0.501 0.138
F 0.036 0.036 0.832
F 0.964 0.964 0.168

Record 2
Computed, not measured: an optimized crystal structure of Re2AgIr at the PBE-GGA level of DFT.

* offset from the most stable computed form: 1.79 kcal/mol of atoms
* symmetry: No. 99
* formation energy: 25.1 kJ/mol of atoms

Cell lengths 2.783, 2.783, 8.000 Å; angles 90.00, 90.00, 90.00 degrees
Fractional coordinates of all 4 atoms:
Re 0.000 0.000 0.000
Re 0.500 0.500 0.238
Ag 0.000 0.000 0.506
Ir 0.500 0.500 0.773

Record 3
Computed, not measured: an optimized crystal structure of CsRb2HgS at the PBE-GGA level of DFT.

* symmetry: No. 123
* energy relative to the elements, uncorrected: -0.5681 eV/atom

Cell lengths 6.429, 6.429, 6.817 Å; angles 90.00, 90.00, 90.00 degrees
Fractional coordinates of all 5 atoms:
Cs 0.000 0.000 0.000
Rb 0.000 0.500 0.500
Rb 0.500 0.000 0.500
Hg 0.500 0.500 0.000
S 0.000 0.000 0.500

Record 4
Computed, not measured: an optimized crystal structure of TaMn2Tc at the PBE-GGA level of DFT.

* offset from the most stable computed form: 0.00 kcal/mol of atoms
* symmetry: No. 47
* formation energy: -6.2 kJ/mol of atoms

Cell lengths 3.120, 4.247, 4.299 Å; angles 90.00, 90.00, 90.00 degrees
Fractional coordinates of all 4 atoms:
Ta 0.000 0.000 0.000
Mn 0.000 0.500 0.500
Mn 0.500 0.500 0.000
Tc 0.500 0.000 0.500

Record 5
Computed, not measured: an optimized crystal structure of TaCd2Fe at the PBE-GGA level of DFT.

* offset from the most stable computed form: 0.00 kcal/mol of atoms
* symmetry: No. 99
* formation energy: 14.8 kJ/mol of atoms

Cell lengths 3.091, 3.091, 7.508 Å; angles 90.00, 90.00, 90.00 degrees
Fractional coordinates of all 4 atoms:
Ta 0.000 0.000 0.000
Cd 0.000 0.000 0.412
Cd 0.500 0.500 0.707
Fe 0.500 0.500 0.165

Record 6
Computed, not measured: an optimized crystal structure of Sm2Cu2Ge3 at the PBE-GGA level of DFT.

* symmetry: No. 63
* formation energy: -61.3 kJ/mol of atoms

Cell lengths 9.406, 9.406, 6.799 Å; angles 90.00, 90.00, 153.39 degrees
Fractional coordinates of all 14 atoms:
Sm 0.051 0.949 0.750
Sm 0.159 0.841 0.250
Sm 0.841 0.159 0.750
Sm 0.949 0.051 0.250
Cu 0.309 0.691 0.062
Cu 0.309 0.691 0.438
Cu 0.691 0.309 0.562
Cu 0.691 0.309 0.938
Ge 0.222 0.778 0.750
Ge 0.435 0.565 0.563
Ge 0.435 0.565 0.937
Ge 0.565 0.435 0.063
Ge 0.565 0.435 0.437
Ge 0.778 0.222 0.250

Record 7
Computed, not measured: an optimized crystal structure of BeZn2Cl at the PBE-GGA level of DFT.

* offset from the most stable computed form: 0.00 kcal/mol of atoms
* symmetry: No. 6
* energy relative to the elements, uncorrected: -0.0925 eV/atom

Cell lengths 3.086, 3.016, 7.850 Å; angles 90.00, 100.56, 90.00 degrees
Fractional coordinates of all 4 atoms:
Be 0.000 0.000 0.000
Zn 0.184 0.000 0.395
Zn 0.590 0.500 0.194
Cl 0.915 0.500 0.821

Record 8
Computed, not measured: an optimized crystal structure of AlSi3Ag at the PBE-GGA level of DFT.

* symmetry: No. 221
* energy relative to the elements, uncorrected: 0.9571 eV/atom

Cell lengths 4.749, 4.749, 4.749 Å; angles 90.00, 90.00, 90.00 degrees
Fractional coordinates of all 5 atoms:
Al 0.000 0.000 0.000
Si 0.000 0.000 0.500
Si 0.000 0.500 0.000
Si 0.500 0.000 0.000
Ag 0.500 0.500 0.500

Record 9
Computed, not measured: an optimized crystal structure of CrB at the PBE-GGA level of DFT.

* symmetry: No. 65
* formation energy: -32.1 kJ/mol of atoms

Cell lengths 2.892, 12.426, 2.922 Å; angles 90.00, 90.00, 90.00 degrees
Fractional coordinates of all 12 atoms:
Cr 0.000 0.000 0.000
Cr 0.000 0.340 0.500
Cr 0.000 0.660 0.500
Cr 0.500 0.160 0.500
Cr 0.500 0.500 0.000
Cr 0.500 0.840 0.500
B 0.000 0.208 0.000
B 0.000 0.500 0.500
B 0.000 0.792 0.000
B 0.500 0.000 0.500
B 0.500 0.292 0.000
B 0.500 0.708 0.000